1.
! GGA-PBE KAgAs2, relaxed; values from VASP
! Formation energy ... -5 kJ/mol of formula units
! Distance to the lowest polymorph of the same formula ... 150 meV/atom
! Magnetization ... 0.0 Bohr magnetons per cell
&SYSTEM
  ibrav = 0, nat = 8, ntyp = 3
/
ATOMIC_SPECIES
As 74.92 As.upf
Ag 107.87 Ag.upf
K 39.10 K.upf
CELL_PARAMETERS angstrom
-3.533 -2.525 2.352
3.014 -0.618 3.863
-3.416 6.314 6.833
ATOMIC_POSITIONS crystal
As 0.875 0.023 0.750
Ag 0.750 0.250 0.500
Ag 0.000 0.000 0.000
K 0.250 0.750 0.500
As 0.977 0.625 0.250
K 0.500 0.500 0.000
As 0.773 0.125 0.250
As 0.375 0.227 0.750


2.
! GGA-PBE K2AgAs, relaxed; values from VASP
! Formation energy ... 76 kJ/mol of formula units
! Magnetization ... 0.0 Bohr magnetons per cell
&SYSTEM
  ibrav = 0, nat = 4, ntyp = 3
/
ATOMIC_SPECIES
As 74.92 As.upf
Ag 107.87 Ag.upf
K 39.10 K.upf
CELL_PARAMETERS angstrom
10.766 0.012 0.007
10.143 3.611 0.007
10.143 1.758 3.154
ATOMIC_POSITIONS crystal
As 0.750 0.750 0.750
Ag 0.250 0.250 0.250
K 0.496 0.496 0.496
K 0.004 0.004 0.004


3.
! GGA-PBE KAgAs2, relaxed; values from VASP
! Formation energy ... 81 kJ/mol of formula units
! Distance to the lowest polymorph of the same formula ... 373 meV/atom
! Magnetization ... 0.0 Bohr magnetons per cell
&SYSTEM
  ibrav = 0, nat = 4, ntyp = 3
/
ATOMIC_SPECIES
Ag 107.87 Ag.upf
As 74.92 As.upf
K 39.10 K.upf
CELL_PARAMETERS angstrom
9.607 -0.005 -0.003
9.016 3.318 -0.003
9.016 1.604 2.905
ATOMIC_POSITIONS crystal
Ag 0.750 0.750 0.750
As 0.486 0.486 0.486
K 0.250 0.250 0.250
As 0.014 0.014 0.014


4.
! GGA-PBE K2AgAs, relaxed; values from VASP
! Formation energy ... 5 kJ/mol of formula units
! Magnetization ... 0.0 Bohr magnetons per cell
&SYSTEM
  ibrav = 0, nat = 4, ntyp = 3
/
ATOMIC_SPECIES
Ag 107.87 Ag.upf
K 39.10 K.upf
As 74.92 As.upf
CELL_PARAMETERS angstrom
3.437 0.006 0.000
-0.004 3.437 0.000
0.000 0.000 9.840
ATOMIC_POSITIONS crystal
Ag 0.500 0.500 0.250
K 0.000 0.000 0.514
K 0.000 0.000 0.986
As 0.500 0.500 0.750


5.
! GGA-PBE K2AgAs, relaxed; values from VASP
! Formation energy ... 4 kJ/mol of formula units
! Magnetization ... 0.0 Bohr magnetons per cell
&SYSTEM
  ibrav = 0, nat = 4, ntyp = 3
/
ATOMIC_SPECIES
Ag 107.87 Ag.upf
As 74.92 As.upf
K 39.10 K.upf
CELL_PARAMETERS angstrom
3.608 0.000 0.000
0.000 4.988 0.000
0.000 0.000 6.351
ATOMIC_POSITIONS crystal
Ag 0.500 0.500 0.250
As 0.500 0.500 0.750
K 0.000 0.000 0.988
K 0.000 0.000 0.512


6.
! GGA-PBE KAgAs2, relaxed; values from VASP
! Formation energy ... 17 kJ/mol of formula units
! Distance to the lowest polymorph of the same formula ... 207 meV/atom
! Magnetization ... 0.0 Bohr magnetons per cell
&SYSTEM
  ibrav = 0, nat = 4, ntyp = 3
/
ATOMIC_SPECIES
K 39.10 K.upf
Ag 107.87 Ag.upf
As 74.92 As.upf
CELL_PARAMETERS angstrom
-2.790 -1.581 -5.780
-0.429 -3.337 -5.690
-2.339 -2.907 4.625
ATOMIC_POSITIONS crystal
K 0.513 0.513 0.465
Ag 0.215 0.215 0.200
As 0.787 0.787 0.895
As 0.985 0.985 0.940


7.
! GGA-PBE KAgAs2, relaxed; values from VASP
! Formation energy ... 46 kJ/mol of formula units
! Distance to the lowest polymorph of the same formula ... 280 meV/atom
! Magnetization ... 0.0 Bohr magnetons per cell
&SYSTEM
  ibrav = 0, nat = 4, ntyp = 3
/
ATOMIC_SPECIES
As 74.92 As.upf
Ag 107.87 Ag.upf
K 39.10 K.upf
CELL_PARAMETERS angstrom
-1.707 2.092 -1.557
-2.608 -1.279 1.129
0.351 5.662 7.225
ATOMIC_POSITIONS crystal
As 0.000 0.000 0.537
Ag 0.500 0.500 0.750
As 0.000 0.000 0.963
K 0.500 0.500 0.250


8.
! GGA-PBE K2AgAs, relaxed; values from VASP
! Formation energy ... -5 kJ/mol of formula units
! Magnetization ... 0.0 Bohr magnetons per cell
&SYSTEM
  ibrav = 0, nat = 4, ntyp = 3
/
ATOMIC_SPECIES
K 39.10 K.upf
Ag 107.87 Ag.upf
As 74.92 As.upf
CELL_PARAMETERS angstrom
3.846 0.024 0.000
0.171 3.842 0.000
0.000 0.000 9.835
ATOMIC_POSITIONS crystal
K 0.000 0.000 0.915
K 0.500 0.500 0.329
Ag 0.000 0.000 0.598
As 0.500 0.500 0.658